Computed, not measured: KZrRe2Bi after structural relaxation at the PBE level of DFT.

Cell lengths 4.640, 5.345, 4.640 Å; angles 90.00, 90.00, 90.00 degrees
Each line ends with the local moment (μB).
Atoms (fractional coordinates):
Bi 0.000 0.500 0.000  -0.01
Re 0.000 0.000 0.500  0.33
Re 0.500 0.000 0.000  0.38
Zr 0.500 0.500 0.500  -0.02
K 0.000 0.000 0.000  -0.01

Summary:
Calculated volume, Å³/atom: 23.01
E, eV per cell: -24.02
Total moment, Bohr magnetons per cell: 0.74
ΔE_f, eV/f.u.: 14.407